one.
Entry from the Alexandria database: Ru2Au2C after structural relaxation (GGA-PBE).

Results
Space group: I4/mmm
Spin magnetization in μB/f.u.: 0.00

Lattice parameters (Å, degrees): 7.0123 7.0123 7.0123 150.03 150.03 42.89
With the nearest neighbours (Å) after each atom.
Positions (direct):
1 Ru 0.0840 0.0840 0.0000  1 Ru 2.19
2 Ru 0.9160 0.9160 0.0000  1 Ru 2.19
3 Au 0.2500 0.7500 0.5000  4 Au 2.56, 4 Ru 2.83
4 Au 0.7500 0.2500 0.5000  4 Au 2.56, 4 Ru 2.83
5 C 0.5000 0.5000 0.0000  8 Ru 2.79

two.
Entry from the Alexandria database: Ru2Au2C after structural relaxation (GGA-PBE).

Results
Space group: P4/mbm
Spin magnetization in μB/f.u.: 0.00

Lattice parameters (Å, degrees): 5.4799 5.4799 4.9191 90.00 90.00 90.00
With the nearest neighbours (Å) after each atom.
Positions (direct):
1 Ru 0.1653 0.3347 0.0000  2 C 2.05
2 Ru 0.3347 0.8347 0.0000  2 C 2.05
3 Ru 0.6653 0.1653 0.0000  2 C 2.05
4 Ru 0.8347 0.6653 0.0000  2 C 2.05
5 Au 0.1754 0.6754 0.5000  5 Au 2.72-2.86, 2 Ru 2.75
6 Au 0.3246 0.1754 0.5000  5 Au 2.72-2.86, 2 Ru 2.75
7 Au 0.6754 0.8246 0.5000  5 Au 2.72-2.86, 2 Ru 2.75
8 Au 0.8246 0.3246 0.5000  5 Au 2.72-2.86, 2 Ru 2.75
9 C 0.0000 0.0000 0.0000  4 Ru 2.05
10 C 0.5000 0.5000 0.0000  4 Ru 2.05

two is preferred energetically. Next in line: 129.7 kJ/mol of atoms higher.

one.
Entry from the Alexandria database: Au2CS after structural relaxation (GGA-PBE).

Results
Space group: Fm-3m
Spin magnetization in μB/f.u.: 0.00

Lattice parameters (Å, degrees): 4.4097 4.4097 4.4097 60.00 60.00 60.00
With the nearest neighbours (Å) after each atom.
Positions (direct):
1 Au 0.2500 0.2500 0.2500  4 S 2.70, 4 C 2.70
2 Au 0.7500 0.7500 0.7500  4 S 2.70, 4 C 2.70
3 C 0.0000 0.0000 0.0000  8 Au 2.70
4 S 0.5000 0.5000 0.5000  8 Au 2.70

two.
Entry from the Alexandria database: Au2CS after structural relaxation (GGA-PBE).

Results
Space group: I-42d
Spin magnetization in μB/f.u.: 0.00

Lattice parameters (Å, degrees): 5.8508 5.8508 5.8508 119.99 119.99 90.02
With the nearest neighbours (Å) after each atom.
Positions (direct):
1 Au 0.0586 0.6250 0.9336  2 C 2.09
2 Au 0.3750 0.3086 0.4336  2 C 2.09
3 Au 0.6914 0.1250 0.0664  2 C 2.09
4 Au 0.8750 0.9414 0.5664  2 C 2.09
5 C 0.0000 0.0000 0.0000  4 Au 2.09
6 C 0.7500 0.2500 0.5000  4 Au 2.09
7 S 0.2500 0.7500 0.5000  4 Au 2.58
8 S 0.5000 0.5000 0.0000  4 Au 2.58

two is preferred energetically. Next in line: 54.1 kJ/mol of atoms higher.

one.
Entry from the Alexandria database: AuC3S after structural relaxation (GGA-PBE).

Results
Space group: Pm-3m
Spin magnetization in μB/f.u.: 2.48

Lattice parameters (Å, degrees): 4.1607 4.1607 4.1607 90.00 90.00 90.00
With the nearest neighbours (Å) after each atom.
Positions (direct):
1 Au 0.0000 0.0000 0.0000  6 C 2.08
2 C 0.0000 0.0000 0.5000  2 Au 2.08
3 C 0.0000 0.5000 0.0000  2 Au 2.08
4 C 0.5000 0.0000 0.0000  2 Au 2.08
5 S 0.5000 0.5000 0.5000  12 C 2.94

two.
Entry from the Alexandria database: AuC3S after structural relaxation (GGA-PBE).

Results
Space group: Pm-3m
Spin magnetization in μB/f.u.: 0.00

Lattice parameters (Å, degrees): 3.6810 3.6810 3.6810 90.00 90.00 90.00
With the nearest neighbours (Å) after each atom.
Positions (direct):
1 Au 0.0000 0.0000 0.0000  12 C 2.60
2 C 0.0000 0.5000 0.5000  2 S 1.84
3 C 0.5000 0.0000 0.5000  2 S 1.84
4 C 0.5000 0.5000 0.0000  2 S 1.84
5 S 0.5000 0.5000 0.5000  6 C 1.84

two is preferred energetically. Next in line: 63.4 kJ/mol of atoms higher.

one.
Entry from the Alexandria database: AuCS3 after structural relaxation (GGA-PBE).

Results
Space group: Pm-3m
Spin magnetization in μB/f.u.: 1.00

Lattice parameters (Å, degrees): 4.8581 4.8581 4.8581 90.00 90.00 90.00
With the nearest neighbours (Å) after each atom.
Positions (direct):
1 Au 0.0000 0.0000 0.0000  6 S 2.43
2 C 0.5000 0.5000 0.5000  12 S 3.44
3 S 0.0000 0.0000 0.5000  2 Au 2.43
4 S 0.0000 0.5000 0.0000  2 Au 2.43
5 S 0.5000 0.0000 0.0000  2 Au 2.43

two.
Entry from the Alexandria database: AuCS3 after structural relaxation (GGA-PBE).

Results
Space group: Pm-3m
Spin magnetization in μB/f.u.: 0.00

Lattice parameters (Å, degrees): 4.1842 4.1842 4.1842 90.00 90.00 90.00
With the nearest neighbours (Å) after each atom.
Positions (direct):
1 Au 0.0000 0.0000 0.0000  12 S 2.96
2 C 0.5000 0.5000 0.5000  6 S 2.09
3 S 0.0000 0.5000 0.5000  2 C 2.09
4 S 0.5000 0.0000 0.5000  2 C 2.09
5 S 0.5000 0.5000 0.0000  2 C 2.09

two is preferred energetically. Next in line: 77.8 kJ/mol of atoms higher.

one.
Entry from the Alexandria database: SbAu3C after structural relaxation (GGA-PBE).

Results
Space group: Pm-3m
Spin magnetization in μB/f.u.: 2.01

Lattice parameters (Å, degrees): 5.2315 5.2315 5.2315 90.00 90.00 90.00
With the nearest neighbours (Å) after each atom.
Positions (direct):
1 Sb 0.0000 0.0000 0.0000  6 Au 2.62
2 Au 0.0000 0.0000 0.5000  2 Sb 2.62
3 Au 0.0000 0.5000 0.0000  2 Sb 2.62
4 Au 0.5000 0.0000 0.0000  2 Sb 2.62
5 C 0.5000 0.5000 0.5000  12 Au 3.70

two.
Entry from the Alexandria database: SbAu3C after structural relaxation (GGA-PBE).

Results
Space group: Pm-3m
Spin magnetization in μB/f.u.: 0.00

Lattice parameters (Å, degrees): 4.4869 4.4869 4.4869 90.00 90.00 90.00
With the nearest neighbours (Å) after each atom.
Positions (direct):
1 Sb 0.0000 0.0000 0.0000  12 Au 3.17
2 Au 0.0000 0.5000 0.5000  2 C 2.24
3 Au 0.5000 0.0000 0.5000  2 C 2.24
4 Au 0.5000 0.5000 0.0000  2 C 2.24
5 C 0.5000 0.5000 0.5000  6 Au 2.24

two is preferred energetically. Next in line: 90.2 kJ/mol of atoms higher.

one.
Entry from the Alexandria database: Sc3AuC after structural relaxation (GGA-PBE).

Results
Space group: P6_3/mmc
Spin magnetization in μB/f.u.: 0.34

Lattice parameters (Å, degrees): 4.1336 4.1336 15.3329 90.00 90.00 120.00
With the nearest neighbours (Å) after each atom.
Positions (direct):
1 Sc 0.0000 0.0000 0.2500  3 Au 2.39
2 Sc 0.0000 0.0000 0.7500  3 Au 2.39
3 Sc 0.3333 0.6667 0.0655  3 C 2.59, 1 Au 2.83
4 Sc 0.3333 0.6667 0.4345  3 C 2.59, 1 Au 2.83
5 Sc 0.6667 0.3333 0.5655  3 C 2.59, 1 Au 2.83
6 Sc 0.6667 0.3333 0.9345  3 C 2.59, 1 Au 2.83
7 Au 0.3333 0.6667 0.2500  3 Sc 2.39
8 Au 0.6667 0.3333 0.7500  3 Sc 2.39
9 C 0.0000 0.0000 0.0000  6 Sc 2.59
10 C 0.0000 0.0000 0.5000  6 Sc 2.59

two.
Entry from the Alexandria database: Sc3AuC after structural relaxation (GGA-PBE).

Results
Space group: P-6
Spin magnetization in μB/f.u.: 0.00

Lattice parameters (Å, degrees): 6.5959 6.5959 4.6985 90.00 90.00 120.00
With the nearest neighbours (Å) after each atom.
Positions (direct):
1 Sc 0.0141 0.4383 0.0000  2 C 2.45
2 Sc 0.0660 0.7603 0.5000  2 C 2.28
3 Sc 0.2397 0.3057 0.5000  2 C 2.28
4 Sc 0.4242 0.9859 0.0000  2 C 2.45
5 Sc 0.5617 0.5758 0.0000  2 C 2.45
6 Sc 0.6943 0.9340 0.5000  2 C 2.28
7 Au 0.0000 0.0000 0.0000  9 Sc 2.85-2.98
8 Au 0.6667 0.3333 0.5000  3 Sc 2.73
9 C 0.3333 0.6667 0.3338  1 C 1.56
10 C 0.3333 0.6667 0.6662  1 C 1.56

three.
Entry from the Alexandria database: Sc3AuC after structural relaxation (GGA-PBE).

Results
Space group: Cmcm
Spin magnetization in μB/f.u.: 0.00

Lattice parameters (Å, degrees): 6.1644 6.1644 6.4860 90.00 90.00 120.68
With the nearest neighbours (Å) after each atom.
Positions (direct):
1 Sc 0.0000 0.0000 0.0000  2 C 2.14
2 Sc 0.0000 0.0000 0.5000  2 C 2.14
3 Sc 0.0144 0.4941 0.7500  1 C 2.04
4 Sc 0.4941 0.0144 0.2500  1 C 2.04
5 Sc 0.5059 0.9856 0.7500  1 C 2.04
6 Sc 0.9856 0.5059 0.2500  1 C 2.04
7 Au 0.4903 0.5097 0.7500  2 Sc 2.89
8 Au 0.5097 0.4903 0.2500  2 Sc 2.89
9 C 0.1305 0.8695 0.7500  4 Sc 2.04-2.14
10 C 0.8695 0.1305 0.2500  4 Sc 2.04-2.14

four.
Entry from the Alexandria database: Sc3AuC after structural relaxation (GGA-PBE).

Results
Space group: Cmcm
Spin magnetization in μB/f.u.: 0.00

Lattice parameters (Å, degrees): 7.9293 7.9293 7.4193 90.00 90.00 152.90
With the nearest neighbours (Å) after each atom.
Positions (direct):
1 Sc 0.0006 0.9994 0.7500  2 C 2.14
2 Sc 0.3450 0.6550 0.0292  1 C 2.11
3 Sc 0.3450 0.6550 0.4708  1 C 2.11
4 Sc 0.6550 0.3450 0.5292  1 C 2.11
5 Sc 0.6550 0.3450 0.9708  1 C 2.11
6 Sc 0.9994 0.0006 0.2500  2 C 2.14
7 Au 0.1859 0.8141 0.2500  7 Sc 2.82-2.95
8 Au 0.8141 0.1859 0.7500  7 Sc 2.82-2.95
9 C 0.4311 0.5689 0.2500  4 Sc 2.11-2.14
10 C 0.5689 0.4311 0.7500  4 Sc 2.11-2.14

two is preferred energetically. Next in line: 23.4 kJ/mol of atoms higher.